Record 1
Compound: Tl2Pd7Pt
Source: Alexandria via LeMat-Bulk
Functional: PBE-GGA
Structure: relaxed

Geometry as CIF:
```
data_Tl2Pd7Pt
_cell_length_a 8.4117
_cell_length_b 16.3025
_cell_length_c 2.8392
_cell_angle_alpha 90.00
_cell_angle_beta 90.00
_cell_angle_gamma 90.00
_symmetry_space_group_name_H-M 'C m m m'
_symmetry_Int_Tables_number 65
_symmetry_space_group_name_Hall '-C 2 2'
loop_
_atom_site_label
_atom_site_type_symbol
_atom_site_fract_x
_atom_site_fract_y
_atom_site_fract_z
_atom_site_occupancy
Tl1 Tl 0.0000 0.1808 0.0000 1
Pd1 Pd 0.0000 0.0000 0.0000 1
Pd2 Pd 0.0000 0.3262 0.5000 1
Pd3 Pd 0.2274 0.4138 0.0000 1
Pt1 Pt 0.0000 0.5000 0.5000 1
```

Properties
As for the formation energy: 0.16 eV per atom. The crystal system is orthorhombic. Its density of states at the Fermi level is 1.444 states/eV/atom.

=====

Record 2
Compound: La2ZrCl
Source: Alexandria via LeMat-Bulk
Functional: PBE-GGA
Structure: relaxed

Geometry as CIF:
```
data_La2ZrCl
_cell_length_a 3.3838
_cell_length_b 3.3838
_cell_length_c 9.6976
_cell_angle_alpha 90.00
_cell_angle_beta 90.00
_cell_angle_gamma 90.00
_symmetry_space_group_name_H-M 'P 4 m m'
_symmetry_Int_Tables_number 99
loop_
_symmetry_equiv_pos_as_xyz
'x,y,z'
'-y,x,z'
'-x,-y,z'
'y,-x,z'
'-x,y,z'
'y,x,z'
'x,-y,z'
'-y,-x,z'
loop_
_atom_site_label
_atom_site_type_symbol
_atom_site_fract_x
_atom_site_fract_y
_atom_site_fract_z
_atom_site_occupancy
La1 La 0.0000 0.0000 0.0000 1
La2 La 0.5000 0.5000 0.3330 1
Zr1 Zr 0.0000 0.0000 0.5936 1
Cl1 Cl 0.5000 0.5000 0.7799 1
```

Properties
The crystal system is tetragonal. Its formation energy without anion corrections is -0.301 eV/atom. Its offset from the most stable computed form is 0.279 eV per atom. Its density of states at the Fermi level is 1.060 states/eV/atom.

=====

Record 3
Compound: TbNdGaSi
Source: Alexandria via LeMat-Bulk
Functional: PBE-GGA
Structure: relaxed

Geometry as CIF:
```
data_TbNdGaSi
_cell_length_a 4.0142
_cell_length_b 4.3878
_cell_length_c 11.0100
_cell_angle_alpha 90.00
_cell_angle_beta 90.00
_cell_angle_gamma 90.00
_symmetry_space_group_name_H-M 'A m m 2'
_symmetry_Int_Tables_number 38
loop_
_symmetry_equiv_pos_as_xyz
'x,y,z'
'-x,-y,z'
'-x,y,z'
'x,-y,z'
'x,y+1/2,z+1/2'
'-x,-y+1/2,z+1/2'
'-x,y+1/2,z+1/2'
'x,-y+1/2,z+1/2'
loop_
_atom_site_label
_atom_site_type_symbol
_atom_site_fract_x
_atom_site_fract_y
_atom_site_fract_z
_atom_site_occupancy
Tb1 Tb 0.0000 0.0000 0.0000 1
Nd1 Nd 0.5000 0.0000 0.7183 1
Ga1 Ga 0.0000 0.0000 0.2901 1
Si1 Si 0.5000 0.0000 0.4358 1
```

Properties
The crystal system is orthorhombic. Its formation energy without anion corrections is -0.719 eV/atom. Its density of states at the Fermi level is 0.796 states/eV/atom.

=====

Record 4
Compound: CoAs4
Source: Alexandria via LeMat-Bulk
Functional: PBE-GGA
Structure: relaxed

Geometry as CIF:
```
data_CoAs4
_cell_length_a 5.2250
_cell_length_b 5.2250
_cell_length_c 7.3713
_cell_angle_alpha 90.00
_cell_angle_beta 90.00
_cell_angle_gamma 90.00
_symmetry_space_group_name_H-M 'I 4/m m m'
_symmetry_Int_Tables_number 139
_symmetry_space_group_name_Hall '-I 4 2'
loop_
_atom_site_label
_atom_site_type_symbol
_atom_site_fract_x
_atom_site_fract_y
_atom_site_fract_z
_atom_site_occupancy
Co1 Co 0.0000 0.0000 0.0000 1
As1 As 0.0000 0.0000 0.3193 1
As2 As 0.0000 0.5000 0.2500 1
```

Properties
As for the formation energy: 0.54 eV per atom. The crystal system is tetragonal. Its offset from the most stable computed form is 0.069 eV per atom. Its density of states at the Fermi level is 1.388 states/eV/atom.

=====

Record 5
Compound: ScInHg2
Source: Alexandria via LeMat-Bulk
Functional: PBE-GGA
Structure: relaxed

Geometry as CIF:
```
data_ScInHg2
_cell_length_a 3.4042
_cell_length_b 5.0330
_cell_length_c 5.5653
_cell_angle_alpha 90.00
_cell_angle_beta 90.89
_cell_angle_gamma 90.00
_symmetry_space_group_name_H-M 'P 1 2/m 1'
_symmetry_Int_Tables_number 10
loop_
_symmetry_equiv_pos_as_xyz
'x,y,z'
'-x,-y,-z'
'-x,y,-z'
'x,-y,z'
loop_
_atom_site_label
_atom_site_type_symbol
_atom_site_fract_x
_atom_site_fract_y
_atom_site_fract_z
_atom_site_occupancy
Sc1 Sc 0.0000 0.0000 0.0000 1
In1 In 0.5000 0.0000 0.5000 1
Hg1 Hg 0.2801 0.5000 0.7627 1
```

Properties
As for the formation energy: -0.17 eV per atom. The crystal system is monoclinic. Its density of states at the Fermi level is 0.539 states/eV/atom.

=====

Record 6
Compound: LaHf2Sn
Source: Alexandria via LeMat-Bulk
Functional: PBE-GGA
Structure: relaxed

Geometry as CIF:
```
data_LaHf2Sn
_cell_length_a 4.4900
_cell_length_b 4.4900
_cell_length_c 21.3300
_cell_angle_alpha 90.00
_cell_angle_beta 90.00
_cell_angle_gamma 90.00
_symmetry_space_group_name_H-M 'I -4 2 d'
_symmetry_Int_Tables_number 122
_symmetry_space_group_name_Hall 'I -4 2bw'
loop_
_atom_site_label
_atom_site_type_symbol
_atom_site_fract_x
_atom_site_fract_y
_atom_site_fract_z
_atom_site_occupancy
La1 La 0.0000 0.0000 0.0000 1
Hf1 Hf 0.2393 0.2500 0.6250 1
Sn1 Sn 0.0000 0.0000 0.5000 1
```

Properties
As for the formation energy: 0.18 eV per atom. The crystal system is tetragonal. Its density of states at the Fermi level is 1.423 states/eV/atom.